Compound: Pr2Cu3AgGe4
Source: Alexandria via LeMat-Bulk
Functional: PBE
Structure: relaxed

Properties
* M_tot: 0.0 Bohr magnetons per cell
* energy: -47.92 eV for the cell shown
* calculated volume: 188.4 Å³/cell
* formation enthalpy at 0 K: -458 kJ/mol of formula units

Cell lengths 4.2938, 4.2938, 10.2213 Å; angles 90.00, 90.00, 90.00 degrees
Space group P-4m2 (No. 115)
Symmetry-distinct sites (fractional):
Pr 0.0000 0.5000 0.2436 [2 per cell]
Cu 0.0000 0.5000 0.8762 [2 per cell]
Cu 0.5000 0.5000 0.5000 [1 per cell]
Ag 0.0000 0.0000 0.5000 [1 per cell]
Ge 0.0000 0.0000 0.0000 [1 per cell]
Ge 0.0000 0.5000 0.6410 [2 per cell]
Ge 0.5000 0.5000 0.0000 [1 per cell]